A plane-wave DFT calculation with GGA-PBE was carried out for a relaxed Nd2PbS crystal.

a b c (Å): 3.9543 3.9543 8.7052
angles (deg): 76.87 76.87 60.00
Closest atoms and distances in Å follow each position.
Positions (direct):
S 0.6672 0.6672 0.9983  6 Nd 2.81-2.83
Nd 0.0659 0.0659 0.8023  3 S 2.81
Nd 0.2675 0.2675 0.1974  3 S 2.83
Pb 0.4993 0.4993 0.5020  6 Nd 3.40-3.43

Properties
The energy above the most stable polymorph in this dataset is 0.055 eV/f.u. Its total DFT energy (no corrections) is -5.571 eV/atom. The space group is R3m, No. 160. The value obtained for the uncorrected formation energy is -1.228 eV per atom. For the size of the total moment, the calculation gives 0.0 μB per cell. As for the density of states at the Fermi level: 2.20 states/eV per cell.

A plane-wave DFT calculation with GGA-PBE was carried out for a relaxed NdPb3S4 crystal.

a b c (Å): 5.8595 9.0305 9.1987
angles (deg): 90.00 90.00 90.00
Closest atoms and distances in Å follow each position.
Positions (direct):
Pb 0.0645 0.1040 0.5000  5 S 2.89-3.09
Pb 0.5645 0.8960 0.0000  5 S 2.89-3.09
Pb 0.5645 0.3524 0.3060  5 S 2.93-3.08
Pb 0.0645 0.6476 0.1940  5 S 2.93-3.08
Pb 0.5645 0.3524 0.6940  5 S 2.93-3.08
Pb 0.0645 0.6476 0.8060  5 S 2.93-3.08
S 0.0644 0.3354 0.7178  1 Nd 2.78, 4 Pb 2.89-2.94
S 0.0643 0.7616 0.5000  2 Nd 2.93, 3 Pb 3.00-3.09
S 0.5644 0.6646 0.2178  1 Nd 2.78, 4 Pb 2.89-2.94
S 0.0644 0.3354 0.2822  1 Nd 2.78, 4 Pb 2.89-2.94
S 0.0643 0.9256 0.0000  1 Nd 2.71, 2 Pb 2.94
S 0.5643 0.2384 0.0000  2 Nd 2.93, 3 Pb 3.00-3.09
S 0.5644 0.6646 0.7822  1 Nd 2.78, 4 Pb 2.89-2.94
S 0.5643 0.0744 0.5000  1 Nd 2.71, 2 Pb 2.94
Nd 0.0642 0.2255 0.0000  5 S 2.71-2.93
Nd 0.5642 0.7745 0.5000  5 S 2.71-2.93

Properties
Its total DFT energy (no corrections) is -4.860 eV/atom. The space group is Pmmn, No. 59. The value obtained for the uncorrected formation energy is -0.809 eV per atom. For the size of the total moment, the calculation gives 0.0 μB per cell. As for the density of states at the Fermi level: 4.62 states/eV per cell.

A plane-wave DFT calculation with GGA-PBE was carried out for a relaxed Nd3Pb5S12 crystal.

a b c (Å): 14.2618 14.2618 14.2618
angles (deg): 109.47 109.47 109.47
Closest atoms and distances in Å follow each position.
Positions (direct):
S 0.4129 0.0533 0.3265  2 Pb 2.62-2.84
S 0.5533 0.3265 0.9129  2 Pb 2.62-2.84
S 0.0533 0.4129 0.8265  2 Pb 2.62-2.84
S 0.0864 0.1735 0.2268  2 Pb 2.62-2.84
S 0.5864 0.7268 0.6735  2 Pb 2.62-2.84
S 0.8265 0.9136 0.2732  2 Pb 2.62-2.84
S 0.3265 0.7732 0.4136  2 Pb 2.62-2.84
S 0.6735 0.4467 0.5871  2 Pb 2.62-2.84
S 0.1735 0.0864 0.7268  2 Pb 2.62-2.84
S 0.9136 0.8265 0.7732  2 Pb 2.62-2.84
S 0.2732 0.8596 0.9467  2 Pb 2.62-2.84
S 0.7268 0.5864 0.1735  2 Pb 2.62-2.84
S 0.2268 0.5533 0.6404  2 Pb 2.62-2.84
S 0.9136 0.0871 0.6404  2 Pb 2.62-2.84
S 0.9129 0.0864 0.8596  2 Pb 2.62-2.84
S 0.6404 0.5871 0.9136  2 Pb 2.62-2.84
S 0.9129 0.8265 0.5533  2 Pb 2.62-2.84
S 0.5533 0.2268 0.1404  2 Pb 2.62-2.84
S 0.9467 0.5871 0.1735  2 Pb 2.62-2.84
S 0.2732 0.4136 0.8265  2 Pb 2.62-2.84
S 0.3265 0.5533 0.4129  2 Pb 2.62-2.84
S 0.7268 0.1404 0.0533  2 Pb 2.62-2.84
S 0.7732 0.3265 0.9136  2 Pb 2.62-2.84
S 0.4467 0.6735 0.0871  2 Pb 2.62-2.84
S 0.7732 0.4467 0.3596  2 Pb 2.62-2.84
S 0.3596 0.9467 0.7732  2 Pb 2.62-2.84
S 0.1735 0.0871 0.9467  2 Pb 2.62-2.84
S 0.0871 0.1735 0.4467  2 Pb 2.62-2.84
S 0.6735 0.2268 0.5864  2 Pb 2.62-2.84
S 0.0533 0.6404 0.7268  2 Pb 2.62-2.84
S 0.4129 0.3596 0.5864  2 Pb 2.62-2.84
S 0.1404 0.7268 0.5533  2 Pb 2.62-2.84
S 0.0864 0.9129 0.3596  2 Pb 2.62-2.84
S 0.4467 0.7732 0.8596  2 Pb 2.62-2.84
S 0.3596 0.4129 0.0864  2 Pb 2.62-2.84
S 0.5864 0.8596 0.4129  2 Pb 2.62-2.84
S 0.8596 0.5864 0.9129  2 Pb 2.62-2.84
S 0.4136 0.1404 0.5871  2 Pb 2.62-2.84
S 0.8265 0.9129 0.0533  2 Pb 2.62-2.84
S 0.5871 0.9467 0.6735  2 Pb 2.62-2.84
S 0.4136 0.2732 0.3265  2 Pb 2.62-2.84
S 0.9467 0.3596 0.2732  2 Pb 2.62-2.84
S 0.0871 0.9136 0.1404  2 Pb 2.62-2.84
S 0.2268 0.6735 0.0864  2 Pb 2.62-2.84
S 0.1404 0.4136 0.0871  2 Pb 2.62-2.84
S 0.5871 0.6404 0.4136  2 Pb 2.62-2.84
S 0.8596 0.2732 0.4467  2 Pb 2.62-2.84
S 0.6404 0.0533 0.2268  2 Pb 2.62-2.84
Pb 0.5000 0.5000 0.0000  6 S 2.84
Pb 0.7500 0.1250 0.8750  4 S 2.62
Pb 0.0000 0.5000 0.0000  6 S 2.84
Pb 0.0000 0.0000 0.0000  6 S 2.84
Pb 0.5000 0.0000 0.5000  6 S 2.84
Pb 0.5000 0.5000 0.5000  6 S 2.84
Pb 0.8750 0.2500 0.6250  4 S 2.62
Pb 0.8750 0.6250 0.7500  4 S 2.62
Pb 0.2500 0.8750 0.1250  4 S 2.62
Pb 0.6250 0.8750 0.2500  4 S 2.62
Pb 0.3750 0.1250 0.7500  4 S 2.62
Pb 0.1250 0.3750 0.2500  4 S 2.62
Pb 0.6250 0.7500 0.8750  4 S 2.62
Pb 0.1250 0.7500 0.3750  4 S 2.62
Pb 0.5000 0.0000 0.0000  6 S 2.84
Pb 0.0000 0.5000 0.5000  6 S 2.84
Pb 0.2500 0.3750 0.6250  4 S 2.62
Pb 0.7500 0.6250 0.3750  4 S 2.62
Pb 0.0000 0.0000 0.5000  6 S 2.84
Pb 0.3750 0.2500 0.1250  4 S 2.62
Nd 0.2500 0.6250 0.8750  8 S 3.02-3.03
Nd 0.8750 0.7500 0.1250  8 S 3.02-3.03
Nd 0.6250 0.2500 0.3750  8 S 3.02-3.03
Nd 0.1250 0.8750 0.7500  8 S 3.02-3.03
Nd 0.2500 0.1250 0.3750  8 S 3.02-3.03
Nd 0.8750 0.1250 0.2500  8 S 3.02-3.03
Nd 0.1250 0.2500 0.8750  8 S 3.02-3.03
Nd 0.7500 0.8750 0.6250  8 S 3.02-3.03
Nd 0.6250 0.3750 0.7500  8 S 3.02-3.03
Nd 0.7500 0.3750 0.1250  8 S 3.02-3.03
Nd 0.3750 0.6250 0.2500  8 S 3.02-3.03
Nd 0.3750 0.7500 0.6250  8 S 3.02-3.03

Properties
Its total DFT energy (no corrections) is -4.947 eV/atom. The space group is Ia-3d, No. 230. The value obtained for the uncorrected formation energy is -0.828 eV per atom. For the size of the total moment, the calculation gives 0.0 μB per cell. As for the density of states at the Fermi level: 36.95 states/eV per cell.